VASP calculation (meta-GGA SCAN) on a PBEsol-optimized structure of Sr3Pt.

Cell and atoms, written as CIF:
```
data_Sr3Pt
_space_group_name_H-M_alt 'P n m a'
_space_group_IT_number 62
_space_group_name_Hall '-P 2ac 2n'
_cell_length_a 7.986
_cell_length_b 10.208
_cell_length_c 6.985
_cell_angle_alpha 90.00
_cell_angle_beta 90.00
_cell_angle_gamma 90.00
loop_
_atom_site_label
_atom_site_type_symbol
_atom_site_fract_x
_atom_site_fract_y
_atom_site_fract_z
Sr1 Sr 0.046 0.250 0.154
Sr2 Sr 0.169 0.070 0.668
Pt1 Pt 0.122 0.750 0.453
```

Calculated values
The formation energy is -0.591 eV per atom. For the final energy, the calculation gives -557.53 eV per cell.


VASP calculation (meta-GGA SCAN) on a PBEsol-optimized structure of SrPt3.

Cell and atoms, written as CIF:
```
data_SrPt3
_space_group_name_H-M_alt 'C m m m'
_space_group_IT_number 65
_space_group_name_Hall '-C 2 2'
_cell_length_a 5.914
_cell_length_b 8.121
_cell_length_c 2.923
_cell_angle_alpha 90.00
_cell_angle_beta 90.00
_cell_angle_gamma 90.00
loop_
_atom_site_label
_atom_site_type_symbol
_atom_site_fract_x
_atom_site_fract_y
_atom_site_fract_z
Sr1 Sr 0.000 0.000 0.000
Pt1 Pt 0.000 0.500 0.000
Pt2 Pt 0.250 0.250 0.500
```

Calculated values
The formation energy is -0.233 eV per atom. For the final energy, the calculation gives -467.58 eV per cell.


> The lowest final energy belongs to which entry?

Sr3Pt


> Which formula does entry 1 have?

Sr3Pt


Repeat the second record exactly.
VASP calculation (meta-GGA SCAN) on a PBEsol-optimized structure of SrPt3.

Cell and atoms, written as CIF:
```
data_SrPt3
_space_group_name_H-M_alt 'C m m m'
_space_group_IT_number 65
_space_group_name_Hall '-C 2 2'
_cell_length_a 5.914
_cell_length_b 8.121
_cell_length_c 2.923
_cell_angle_alpha 90.00
_cell_angle_beta 90.00
_cell_angle_gamma 90.00
loop_
_atom_site_label
_atom_site_type_symbol
_atom_site_fract_x
_atom_site_fract_y
_atom_site_fract_z
Sr1 Sr 0.000 0.000 0.000
Pt1 Pt 0.000 0.500 0.000
Pt2 Pt 0.250 0.250 0.500
```

Calculated values
The formation energy is -0.233 eV per atom. For the final energy, the calculation gives -467.58 eV per cell.


Please write out number 2 again, unchanged.
VASP calculation (meta-GGA SCAN) on a PBEsol-optimized structure of SrPt3.

Cell and atoms, written as CIF:
```
data_SrPt3
_space_group_name_H-M_alt 'C m m m'
_space_group_IT_number 65
_space_group_name_Hall '-C 2 2'
_cell_length_a 5.914
_cell_length_b 8.121
_cell_length_c 2.923
_cell_angle_alpha 90.00
_cell_angle_beta 90.00
_cell_angle_gamma 90.00
loop_
_atom_site_label
_atom_site_type_symbol
_atom_site_fract_x
_atom_site_fract_y
_atom_site_fract_z
Sr1 Sr 0.000 0.000 0.000
Pt1 Pt 0.000 0.500 0.000
Pt2 Pt 0.250 0.250 0.500
```

Calculated values
The formation energy is -0.233 eV per atom. For the final energy, the calculation gives -467.58 eV per cell.